Arrangement P

! SrTcSe2 (GGA-PBEsol, optimized geometry); values from VASP
&SYSTEM
  ibrav = 0, nat = 8, ntyp = 3
/
ATOMIC_SPECIES
Sr 87.62 Sr.upf
Tc 98.00 Tc.upf
Se 78.96 Se.upf
ATOMIC_POSITIONS angstrom
Sr 0.000 0.000 0.000
Sr 0.000 2.925 3.268
Tc 2.925 0.000 3.268
Tc 0.000 0.000 6.537
Se 1.462 -0.934 4.903
Se 1.991 1.462 1.634
Se 1.462 3.858 -1.634
Se 0.934 1.462 8.171
CELL_PARAMETERS angstrom
-2.925 2.925 6.537
2.925 -2.925 6.537
2.925 2.925 -6.537
! space group = I-42d

***

Arrangement Q

! SrTcSe2 (GGA-PBEsol, optimized geometry); values from VASP
&SYSTEM
  ibrav = 0, nat = 4, ntyp = 3
/
ATOMIC_SPECIES
Sr 87.62 Sr.upf
Tc 98.00 Tc.upf
Se 78.96 Se.upf
ATOMIC_POSITIONS angstrom
Sr 0.000 0.000 0.000
Tc 1.763 1.763 3.704
Se 0.000 0.000 2.959
Se 1.763 1.763 6.122
CELL_PARAMETERS angstrom
3.525 0.000 0.000
0.000 3.525 0.000
0.000 0.000 7.597
! space group = P4mm

***

Which of them is the least stable? Correct choice: arrangement Q.

***

Arrangement P

! Sr2TeSe (GGA-PBEsol, optimized geometry); values from VASP
&SYSTEM
  ibrav = 0, nat = 4, ntyp = 3
/
ATOMIC_SPECIES
Sr 87.62 Sr.upf
Te 127.60 Te.upf
Se 78.96 Se.upf
ATOMIC_POSITIONS angstrom
Sr 0.000 0.000 5.451
Sr 0.000 0.000 16.810
Te 0.000 0.000 0.000
Se 0.000 0.000 11.130
CELL_PARAMETERS angstrom
2.261 1.305 7.420
-2.261 1.305 7.420
0.000 -2.610 7.420
! space group = R-3m

***

Arrangement Q

! Sr2TeSe (GGA-PBEsol, optimized geometry); values from VASP
&SYSTEM
  ibrav = 0, nat = 4, ntyp = 3
/
ATOMIC_SPECIES
Sr 87.62 Sr.upf
Te 127.60 Te.upf
Se 78.96 Se.upf
ATOMIC_POSITIONS angstrom
Sr 0.000 0.000 1.864
Sr 0.000 0.000 5.926
Te 2.748 0.000 3.895
Se 2.748 0.000 0.000
CELL_PARAMETERS angstrom
2.748 -2.755 0.000
2.748 2.755 0.000
0.000 0.000 7.790
! space group = Cmmm

***

Which of them is the least stable? Correct choice: arrangement Q.

***

Arrangement P

! SrWSe2 (GGA-PBEsol, optimized geometry); values from VASP
&SYSTEM
  ibrav = 0, nat = 4, ntyp = 3
/
ATOMIC_SPECIES
Sr 87.62 Sr.upf
W 183.84 W.upf
Se 78.96 Se.upf
ATOMIC_POSITIONS angstrom
Sr 0.000 0.000 0.000
W 3.360 3.360 3.360
Se 1.680 1.680 1.680
Se 5.040 5.040 5.040
CELL_PARAMETERS angstrom
0.000 3.360 3.360
3.360 0.000 3.360
3.360 3.360 0.000
! space group = Fm-3m

***

Arrangement Q

! SrWSe2 (GGA-PBEsol, optimized geometry); values from VASP
&SYSTEM
  ibrav = 0, nat = 4, ntyp = 3
/
ATOMIC_SPECIES
Sr 87.62 Sr.upf
W 183.84 W.upf
Se 78.96 Se.upf
ATOMIC_POSITIONS angstrom
Sr 0.000 0.000 0.000
W 1.753 1.753 3.720
Se 0.000 0.000 2.934
Se 1.753 1.753 6.148
CELL_PARAMETERS angstrom
3.506 0.000 0.000
0.000 3.506 0.000
0.000 0.000 7.751
! space group = P4mm

***

Which of them is the least stable? Correct choice: arrangement Q.

***

Arrangement P

! SrZnSe (GGA-PBEsol, optimized geometry); values from VASP
&SYSTEM
  ibrav = 0, nat = 3, ntyp = 3
/
ATOMIC_SPECIES
Sr 87.62 Sr.upf
Zn 65.41 Zn.upf
Se 78.96 Se.upf
ATOMIC_POSITIONS angstrom
Sr 0.000 0.000 0.000
Zn 1.779 1.779 1.779
Se 5.337 5.337 5.337
CELL_PARAMETERS angstrom
0.000 3.558 3.558
3.558 0.000 3.558
3.558 3.558 0.000
! space group = F-43m

***

Arrangement Q

! SrZnSe (GGA-PBEsol, optimized geometry); values from VASP
&SYSTEM
  ibrav = 0, nat = 3, ntyp = 3
/
ATOMIC_SPECIES
Sr 87.62 Sr.upf
Zn 65.41 Zn.upf
Se 78.96 Se.upf
ATOMIC_POSITIONS angstrom
Sr 0.000 0.000 0.000
Zn 3.610 3.610 3.610
Se 5.414 5.414 5.414
CELL_PARAMETERS angstrom
0.000 3.610 3.610
3.610 0.000 3.610
3.610 3.610 0.000
! space group = F-43m

***

Which of them is the least stable? Correct choice: arrangement Q.

***

Arrangement P

! Ta3Se (GGA-PBEsol, optimized geometry); values from VASP
&SYSTEM
  ibrav = 0, nat = 4, ntyp = 2
/
ATOMIC_SPECIES
Ta 180.95 Ta.upf
Se 78.96 Se.upf
ATOMIC_POSITIONS angstrom
Ta 0.000 0.000 0.000
Ta 1.435 1.840 1.620
Ta 1.435 -1.840 1.620
Se 2.871 0.000 0.000
CELL_PARAMETERS angstrom
2.871 -3.681 0.000
2.871 3.681 0.000
0.000 0.000 3.240
! space group = Cmmm

***

Arrangement Q

! Ta3Se (GGA-PBEsol, optimized geometry); values from VASP
&SYSTEM
  ibrav = 0, nat = 4, ntyp = 2
/
ATOMIC_SPECIES
Ta 180.95 Ta.upf
Se 78.96 Se.upf
ATOMIC_POSITIONS angstrom
Ta 0.000 0.000 0.000
Ta 0.000 0.000 5.940
Ta 0.000 0.000 18.089
Se 0.000 0.000 12.015
CELL_PARAMETERS angstrom
1.609 0.929 8.010
-1.609 0.929 8.010
0.000 -1.858 8.010
! space group = R-3m

***

Which of them is the least stable? Correct choice: arrangement P.

***

Arrangement P

! TaTcSe2 (GGA-PBEsol, optimized geometry); values from VASP
&SYSTEM
  ibrav = 0, nat = 4, ntyp = 3
/
ATOMIC_SPECIES
Ta 180.95 Ta.upf
Tc 98.00 Tc.upf
Se 78.96 Se.upf
ATOMIC_POSITIONS angstrom
Ta 0.000 0.000 0.000
Tc 1.565 0.000 2.606
Se 0.000 0.000 4.567
Se 0.000 2.164 2.481
CELL_PARAMETERS angstrom
-1.565 2.164 4.763
1.565 -2.164 4.763
1.565 2.164 -4.763
! space group = Imm2

***

Arrangement Q

! TaTcSe2 (GGA-PBEsol, optimized geometry); values from VASP
&SYSTEM
  ibrav = 0, nat = 4, ntyp = 3
/
ATOMIC_SPECIES
Ta 180.95 Ta.upf
Tc 98.00 Tc.upf
Se 78.96 Se.upf
ATOMIC_POSITIONS angstrom
Ta 0.000 0.000 0.000
Tc 2.694 0.000 0.000
Se 0.415 2.142 1.464
Se 0.415 -2.142 1.464
CELL_PARAMETERS angstrom
2.694 -4.283 0.000
2.694 4.283 0.000
-1.863 0.000 2.929
! space group = C2/m

***

Arrangement R

! TaTcSe2 (GGA-PBEsol, optimized geometry); values from VASP
&SYSTEM
  ibrav = 0, nat = 4, ntyp = 3
/
ATOMIC_SPECIES
Ta 180.95 Ta.upf
Tc 98.00 Tc.upf
Se 78.96 Se.upf
ATOMIC_POSITIONS angstrom
Ta 0.000 0.000 0.000
Tc 3.134 3.134 3.134
Se 1.567 1.567 1.567
Se 4.701 4.701 4.701
CELL_PARAMETERS angstrom
0.000 3.134 3.134
3.134 0.000 3.134
3.134 3.134 0.000
! space group = Fm-3m

***

Arrangement S

! TaTcSe2 (GGA-PBEsol, optimized geometry); values from VASP
&SYSTEM
  ibrav = 0, nat = 4, ntyp = 3
/
ATOMIC_SPECIES
Ta 180.95 Ta.upf
Tc 98.00 Tc.upf
Se 78.96 Se.upf
ATOMIC_POSITIONS angstrom
Ta 0.000 0.000 0.000
Tc 1.653 0.000 5.035
Se 3.961 0.000 3.753
Se 6.427 0.000 1.134
CELL_PARAMETERS angstrom
4.434 -1.632 0.000
4.434 1.632 0.000
-0.934 0.000 5.717
! space group = Cm

***

Which of them is the least stable? Correct choice: arrangement Q.

***

Arrangement P

! TaTcSe2 (GGA-PBEsol, optimized geometry); values from VASP
&SYSTEM
  ibrav = 0, nat = 4, ntyp = 3
/
ATOMIC_SPECIES
Ta 180.95 Ta.upf
Tc 98.00 Tc.upf
Se 78.96 Se.upf
ATOMIC_POSITIONS angstrom
Ta 0.000 0.000 0.000
Tc 0.000 0.000 11.814
Se 0.000 0.000 5.840
Se 0.000 0.000 17.789
CELL_PARAMETERS angstrom
1.533 0.885 7.876
-1.533 0.885 7.876
0.000 -1.770 7.876
! space group = R-3m

***

Arrangement Q

! TaTcSe2 (GGA-PBEsol, optimized geometry); values from VASP
&SYSTEM
  ibrav = 0, nat = 4, ntyp = 3
/
ATOMIC_SPECIES
Ta 180.95 Ta.upf
Tc 98.00 Tc.upf
Se 78.96 Se.upf
ATOMIC_POSITIONS angstrom
Ta 0.000 0.000 0.000
Tc 1.666 2.119 5.562
Se 0.000 2.119 1.538
Se 1.666 0.000 3.958
CELL_PARAMETERS angstrom
3.332 0.000 0.000
0.000 4.238 0.000
0.000 0.000 5.866
! space group = Pmm2

***

Which of them is the least stable? Correct choice: arrangement P.

***

Arrangement P

! Ta2TlSe (GGA-PBEsol, optimized geometry); values from VASP
&SYSTEM
  ibrav = 0, nat = 4, ntyp = 3
/
ATOMIC_SPECIES
Ta 180.95 Ta.upf
Tl 204.38 Tl.upf
Se 78.96 Se.upf
ATOMIC_POSITIONS angstrom
Ta 0.000 0.000 0.000
Ta 1.685 1.685 1.685
Tl 3.370 3.370 3.370
Se 5.055 5.055 5.055
CELL_PARAMETERS angstrom
0.000 3.370 3.370
3.370 0.000 3.370
3.370 3.370 0.000
! space group = F-43m

***

Arrangement Q

! Ta2TlSe (GGA-PBEsol, optimized geometry); values from VASP
&SYSTEM
  ibrav = 0, nat = 4, ntyp = 3
/
ATOMIC_SPECIES
Ta 180.95 Ta.upf
Tl 204.38 Tl.upf
Se 78.96 Se.upf
ATOMIC_POSITIONS angstrom
Ta 0.000 0.000 0.000
Ta 1.570 0.000 3.401
Tl 7.107 0.000 0.969
Se 4.331 0.000 2.895
CELL_PARAMETERS angstrom
4.873 -1.565 0.000
4.873 1.565 0.000
-1.130 0.000 4.942
! space group = Cm

***

Arrangement R

! Ta2TlSe (GGA-PBEsol, optimized geometry); values from VASP
&SYSTEM
  ibrav = 0, nat = 4, ntyp = 3
/
ATOMIC_SPECIES
Ta 180.95 Ta.upf
Tl 204.38 Tl.upf
Se 78.96 Se.upf
ATOMIC_POSITIONS angstrom
Ta 0.000 0.000 6.379
Ta 0.000 0.000 20.038
Tl 0.000 0.000 0.000
Se 0.000 0.000 13.208
CELL_PARAMETERS angstrom
1.555 0.898 8.806
-1.555 0.898 8.806
0.000 -1.795 8.806
! space group = R-3m

***

Which of them is the least stable? Correct choice: arrangement P.

***

Arrangement P

! TcWSe (GGA-PBEsol, optimized geometry); values from VASP
&SYSTEM
  ibrav = 0, nat = 3, ntyp = 3
/
ATOMIC_SPECIES
Tc 98.00 Tc.upf
W 183.84 W.upf
Se 78.96 Se.upf
ATOMIC_POSITIONS angstrom
Tc 0.000 0.000 0.000
W 0.000 1.671 4.184
Se 1.447 0.836 2.048
CELL_PARAMETERS angstrom
2.895 0.000 0.000
-1.447 2.507 0.000
0.000 0.000 6.281
! space group = P3m1

***

Arrangement Q

! TcWSe (GGA-PBEsol, optimized geometry); values from VASP
&SYSTEM
  ibrav = 0, nat = 3, ntyp = 3
/
ATOMIC_SPECIES
Tc 98.00 Tc.upf
W 183.84 W.upf
Se 78.96 Se.upf
ATOMIC_POSITIONS angstrom
Tc 0.000 0.000 0.000
W 4.452 4.452 4.452
Se 2.968 2.968 2.968
CELL_PARAMETERS angstrom
0.000 2.968 2.968
2.968 0.000 2.968
2.968 2.968 0.000
! space group = F-43m

***

Which of them is the least stable? Correct choice: arrangement Q.

***

Arrangement P

! TcWSe2 (GGA-PBEsol, optimized geometry); values from VASP
&SYSTEM
  ibrav = 0, nat = 4, ntyp = 3
/
ATOMIC_SPECIES
Tc 98.00 Tc.upf
W 183.84 W.upf
Se 78.96 Se.upf
ATOMIC_POSITIONS angstrom
Tc 0.000 0.000 0.000
W 0.000 0.000 4.028
Se 1.519 0.000 1.974
Se 1.519 0.000 6.082
CELL_PARAMETERS angstrom
1.519 -2.667 0.000
1.519 2.667 0.000
0.000 0.000 8.055
! space group = Cmmm

***

Arrangement Q

! TcWSe2 (GGA-PBEsol, optimized geometry); values from VASP
&SYSTEM
  ibrav = 0, nat = 4, ntyp = 3
/
ATOMIC_SPECIES
Tc 98.00 Tc.upf
W 183.84 W.upf
Se 78.96 Se.upf
ATOMIC_POSITIONS angstrom
Tc 0.000 0.000 0.000
W 0.000 1.998 1.958
Se 1.998 0.000 1.958
Se 0.000 0.000 3.916
CELL_PARAMETERS angstrom
-1.998 1.998 3.916
1.998 -1.998 3.916
1.998 1.998 -3.916
! space group = I-4m2

***

Which of them is the least stable? Correct choice: arrangement P.

***

Arrangement P

! ZnTcSe (GGA-PBEsol, optimized geometry); values from VASP
&SYSTEM
  ibrav = 0, nat = 3, ntyp = 3
/
ATOMIC_SPECIES
Zn 65.41 Zn.upf
Tc 98.00 Tc.upf
Se 78.96 Se.upf
ATOMIC_POSITIONS angstrom
Zn 0.000 0.000 0.000
Tc 4.483 4.483 4.483
Se 1.494 1.494 1.494
CELL_PARAMETERS angstrom
0.000 2.989 2.989
2.989 0.000 2.989
2.989 2.989 0.000
! space group = F-43m

***

Arrangement Q

! ZnTcSe (GGA-PBEsol, optimized geometry); values from VASP
&SYSTEM
  ibrav = 0, nat = 3, ntyp = 3
/
ATOMIC_SPECIES
Zn 65.41 Zn.upf
Tc 98.00 Tc.upf
Se 78.96 Se.upf
ATOMIC_POSITIONS angstrom
Zn 0.000 0.000 0.000
Tc 0.000 1.758 1.978
Se 1.523 0.879 3.641
CELL_PARAMETERS angstrom
3.045 0.000 0.000
-1.523 2.637 0.000
0.000 0.000 6.066
! space group = P3m1

***

Which of them is the least stable? Correct choice: arrangement P.

***

Arrangement P

! TeSe3 (GGA-PBEsol, optimized geometry); values from VASP
&SYSTEM
  ibrav = 0, nat = 4, ntyp = 2
/
ATOMIC_SPECIES
Te 127.60 Te.upf
Se 78.96 Se.upf
ATOMIC_POSITIONS angstrom
Te 0.000 0.000 0.000
Se 1.740 1.740 1.740
Se 3.479 3.479 3.479
Se 5.219 5.219 5.219
CELL_PARAMETERS angstrom
0.000 3.479 3.479
3.479 0.000 3.479
3.479 3.479 0.000
! space group = Fm-3m

***

Arrangement Q

! TeSe3 (GGA-PBEsol, optimized geometry); values from VASP
&SYSTEM
  ibrav = 0, nat = 8, ntyp = 2
/
ATOMIC_SPECIES
Te 127.60 Te.upf
Se 78.96 Se.upf
ATOMIC_POSITIONS angstrom
Te 0.000 0.000 0.000
Te 2.766 2.766 2.766
Se 0.000 1.383 2.766
Se 0.000 4.149 2.766
Se 1.383 2.766 0.000
Se 2.766 0.000 1.383
Se 2.766 0.000 4.149
Se 4.149 2.766 0.000
CELL_PARAMETERS angstrom
5.531 0.000 0.000
0.000 5.531 0.000
0.000 0.000 5.531
! space group = Pm-3n

***

Which of them is the least stable? Correct choice: arrangement Q.

***

Arrangement P

! TeSe3 (GGA-PBEsol, optimized geometry); values from VASP
&SYSTEM
  ibrav = 0, nat = 4, ntyp = 2
/
ATOMIC_SPECIES
Te 127.60 Te.upf
Se 78.96 Se.upf
ATOMIC_POSITIONS angstrom
Te 0.000 0.000 0.000
Se 2.136 0.000 2.958
Se 0.000 0.000 4.660
Se 0.000 2.355 1.701
CELL_PARAMETERS angstrom
-2.136 2.355 4.660
2.136 -2.355 4.660
2.136 2.355 -4.660
! space group = Immm

***

Arrangement Q

! TeSe3 (GGA-PBEsol, optimized geometry); values from VASP
&SYSTEM
  ibrav = 0, nat = 4, ntyp = 2
/
ATOMIC_SPECIES
Te 127.60 Te.upf
Se 78.96 Se.upf
ATOMIC_POSITIONS angstrom
Te 0.000 0.000 0.000
Se 0.000 0.000 3.803
Se 1.913 0.000 1.990
Se 1.913 0.000 5.615
CELL_PARAMETERS angstrom
1.913 -3.703 0.000
1.913 3.703 0.000
0.000 0.000 7.605
! space group = Cmmm

***

Which of them is the least stable? Correct choice: arrangement P.

***

Arrangement P

! TlTeSe2 (GGA-PBEsol, optimized geometry); values from VASP
&SYSTEM
  ibrav = 0, nat = 4, ntyp = 3
/
ATOMIC_SPECIES
Tl 204.38 Tl.upf
Te 127.60 Te.upf
Se 78.96 Se.upf
ATOMIC_POSITIONS angstrom
Tl 0.000 0.000 0.000
Te 3.070 0.000 0.950
Se 5.544 0.000 1.684
Se 9.330 0.000 2.841
CELL_PARAMETERS angstrom
7.085 -2.049 0.000
7.085 2.049 0.000
-1.164 0.000 3.927
! space group = Cm

***

Arrangement Q

! TlTeSe2 (GGA-PBEsol, optimized geometry); values from VASP
&SYSTEM
  ibrav = 0, nat = 4, ntyp = 3
/
ATOMIC_SPECIES
Tl 204.38 Tl.upf
Te 127.60 Te.upf
Se 78.96 Se.upf
ATOMIC_POSITIONS angstrom
Tl 0.000 0.000 0.000
Te 2.910 2.910 1.544
Se 0.000 2.910 1.538
Se 2.910 0.000 1.551
CELL_PARAMETERS angstrom
5.820 0.000 0.000
0.000 5.821 0.000
0.000 0.000 3.073
! space group = Pmm2

***

Which of them is the least stable? Correct choice: arrangement Q.